First-principles (PBE-GGA) data for a relaxed structure of SiNi2Os, as listed in the Alexandria database.

POSCAR file:
```
SiNi2Os
1.0
2.8564 0.0000 0.0000
0.0000 4.5004 0.0000
0.0000 0.0000 7.8401
Si Ni Os
2 4 2
Direct
0.0000 0.0000 0.0000
0.5000 0.5000 0.0000
0.0000 0.0000 0.4780
0.0000 0.5000 0.2199
0.5000 0.0000 0.2199
0.5000 0.5000 0.4780
0.0000 0.5000 0.7505
0.5000 0.0000 0.7505
```

Raw formation energy: 138 meV per atom

=====

First-principles (PBE-GGA) data for a relaxed structure of BaY2Tl, as listed in the Alexandria database.

POSCAR file:
```
BaY2Tl
1.0
4.9399 0.0000 0.0000
0.0000 4.9399 0.0000
0.0000 0.0000 23.6207
Ba Y Tl
4 8 4
Direct
0.0000 0.0000 0.0000
0.0000 0.5000 0.2500
0.5000 0.0000 0.7500
0.5000 0.5000 0.5000
0.2233 0.2500 0.6250
0.2500 0.7233 0.8750
0.2500 0.7767 0.3750
0.2767 0.2500 0.1250
0.7233 0.7500 0.1250
0.7500 0.2233 0.3750
0.7500 0.2767 0.8750
0.7767 0.7500 0.6250
0.0000 0.0000 0.5000
0.0000 0.5000 0.7500
0.5000 0.0000 0.2500
0.5000 0.5000 0.0000
```

ΔH_f (0 K): 0.21 eV per atom

=====

First-principles (PBE-GGA) data for a relaxed structure of CuTc2Cl8, as listed in the Alexandria database.

POSCAR file:
```
CuTc2Cl8
1.0
5.9459 -4.6707 0.0000
5.9459 4.6707 0.0000
-0.2739 0.0000 6.4101
Cu Tc Cl
1 2 8
Direct
0.0000 0.0000 0.0000
0.2094 0.2094 0.6427
0.7906 0.7906 0.3573
0.0591 0.7129 0.1937
0.1640 0.1640 0.3018
0.2871 0.9409 0.8063
0.3896 0.3896 0.7429
0.6104 0.6104 0.2571
0.7129 0.0591 0.1937
0.8360 0.8360 0.6982
0.9409 0.2871 0.8063
```

Raw formation energy: -353 meV per atom

=====

First-principles (PBE-GGA) data for a relaxed structure of Mg2SiTc, as listed in the Alexandria database.

POSCAR file:
```
Mg2SiTc
1.0
9.2475 0.0000 0.0000
0.0000 2.8094 0.0000
-0.7609 0.0000 5.0148
Mg Si Tc
4 2 2
Direct
0.0000 0.0000 0.0000
0.2331 0.0000 0.7401
0.5000 0.5000 0.0000
0.7331 0.5000 0.7401
0.4815 0.0000 0.4535
0.9815 0.5000 0.4535
0.2501 0.5000 0.2632
0.7501 0.0000 0.2632
```

Raw formation energy: 79 meV per atom

=====

First-principles (PBE-GGA) data for a relaxed structure of AcB4Ir4, as listed in the Alexandria database.

POSCAR file:
```
AcB4Ir4
1.0
7.8357 0.0000 0.0000
0.0000 7.8357 0.0000
0.0000 0.0000 3.9951
Ac B Ir
2 8 8
Direct
0.2500 0.2500 0.2500
0.7500 0.7500 0.7500
0.0311 0.5912 0.1467
0.0912 0.9689 0.6467
0.4088 0.5311 0.6467
0.4689 0.9088 0.1467
0.5311 0.0912 0.8533
0.5912 0.4689 0.3533
0.9088 0.0311 0.3533
0.9689 0.4088 0.8533
0.0915 0.8592 0.1464
0.1408 0.5915 0.6464
0.3592 0.9085 0.6464
0.4085 0.6408 0.1464
0.5915 0.3592 0.8536
0.6408 0.0915 0.3536
0.8592 0.4085 0.3536
0.9085 0.1408 0.8536
```

ΔH_f (0 K): -0.52 eV per atom

=====

First-principles (PBE-GGA) data for a relaxed structure of HfPd2F, as listed in the Alexandria database.

POSCAR file:
```
HfPd2F
1.0
7.1860 0.0000 0.0000
0.0000 7.1860 0.0000
0.0000 0.0000 5.0565
Hf Pd F
4 8 4
Direct
0.0000 0.0000 0.0000
0.0000 0.5000 0.2500
0.5000 0.0000 0.7500
0.5000 0.5000 0.5000
0.2327 0.2500 0.6250
0.2500 0.7327 0.8750
0.2500 0.7673 0.3750
0.2673 0.2500 0.1250
0.7327 0.7500 0.1250
0.7500 0.2327 0.3750
0.7500 0.2673 0.8750
0.7673 0.7500 0.6250
0.0000 0.0000 0.5000
0.0000 0.5000 0.7500
0.5000 0.0000 0.2500
0.5000 0.5000 0.0000
```

Raw formation energy: -830 meV per atom